Entry 1:
# LaFe2SbO6, optimized geometry, DFT PBE+U
data_LaFe2SbO6
_chemical_formula_sum 'La1 Fe2 Sb1 O6'
_cell_length_a 5.473
_cell_length_b 5.474
_cell_length_c 5.833
_cell_angle_alpha 62.73
_cell_angle_beta 62.72
_cell_angle_gamma 60.86
_symmetry_space_group_name_H-M 'P 1'
_symmetry_Int_Tables_number 1
loop_
_symmetry_equiv_pos_as_xyz
'x,y,z'
loop_
_atom_site_label
_atom_site_fract_x
_atom_site_fract_y
_atom_site_fract_z
La1 0.000 0.000 0.000
Fe1 0.211 0.210 0.364
Fe2 0.711 0.732 0.818
Sb1 0.512 0.529 0.433
O1 0.133 0.808 0.615
O2 0.342 0.562 0.168
O3 0.425 0.152 0.629
O4 0.560 0.915 0.148
O5 0.768 0.461 0.632
O6 0.901 0.362 0.167
# - Energy: -6.82 eV per atom
# - Space-group type: P1 (1)

Entry 2:
# La2FeSe2O2, optimized geometry, DFT PBE+U
data_La2FeSe2O2
_chemical_formula_sum 'La4 Fe2 Se4 O4'
_cell_length_a 11.592
_cell_length_b 3.989
_cell_length_c 7.216
_cell_angle_alpha 90.00
_cell_angle_beta 121.38
_cell_angle_gamma 90.00
_symmetry_space_group_name_H-M 'P 1'
_symmetry_Int_Tables_number 1
loop_
_symmetry_equiv_pos_as_xyz
'x,y,z'
loop_
_atom_site_label
_atom_site_fract_x
_atom_site_fract_y
_atom_site_fract_z
La1 0.193 0.000 0.244
La2 0.307 0.500 0.756
La3 0.693 0.500 0.244
La4 0.807 0.000 0.756
Fe1 0.000 0.000 0.500
Fe2 0.500 0.500 0.500
Se1 0.058 0.500 0.817
Se2 0.442 0.000 0.183
Se3 0.558 0.000 0.817
Se4 0.942 0.500 0.183
O1 0.196 0.000 0.581
O2 0.304 0.500 0.419
O3 0.696 0.500 0.581
O4 0.804 0.000 0.419
# - Energy: -6.97 eV per atom
# - Space-group type: C2/m (12)

Entry 3:
# La4FeSe6O, optimized geometry, DFT PBE+U
data_La4FeSe6O
_chemical_formula_sum 'La8 Fe2 Se12 O2'
_cell_length_a 7.101
_cell_length_b 9.777
_cell_length_c 9.804
_cell_angle_alpha 60.18
_cell_angle_beta 89.87
_cell_angle_gamma 89.87
_symmetry_space_group_name_H-M 'P 1'
_symmetry_Int_Tables_number 1
loop_
_symmetry_equiv_pos_as_xyz
'x,y,z'
loop_
_atom_site_label
_atom_site_fract_x
_atom_site_fract_y
_atom_site_fract_z
La1 0.000 0.000 0.000
La2 0.000 0.001 0.402
La3 0.452 0.132 0.138
La4 0.499 0.602 0.603
La5 0.500 0.200 0.602
La6 0.500 0.601 0.201
La7 0.953 0.470 0.464
La8 0.999 0.402 0.001
Fe1 0.153 0.802 0.803
Fe2 0.658 0.802 0.799
Se1 0.212 0.332 0.740
Se2 0.215 0.330 0.330
Se3 0.216 0.743 0.330
Se4 0.390 0.559 0.923
Se5 0.390 0.923 0.558
Se6 0.393 0.922 0.923
Se7 0.711 0.270 0.863
Se8 0.714 0.272 0.272
Se9 0.714 0.859 0.273
Se10 0.898 0.678 0.048
Se11 0.898 0.679 0.679
Se12 0.899 0.047 0.679
O1 0.117 0.134 0.134
O2 0.617 0.467 0.469
# - Energy: -6.19 eV per atom
# - Space-group type: P1 (1)

> Among the records above, which one has the highest energy?

La4FeSe6O